1.
# PBE-GGA K8Rb2Na3, optimized geometry
data_K8Rb2Na3
_chemical_formula_sum 'K16 Rb4 Na6'
_cell_length_a 19.3774
_cell_length_b 10.6224
_cell_length_c 9.0110
_cell_angle_alpha 90.00
_cell_angle_beta 101.32
_cell_angle_gamma 90.00
_space_group_name_H-M_alt 'C 1 2/m 1'
_space_group_IT_number 12
_space_group_name_Hall '-C 2y'
loop_
_atom_site_label
_atom_site_fract_x
_atom_site_fract_y
_atom_site_fract_z
K1 0.0961 0.0000 0.4119
K2 0.1012 0.1920 0.9170
K3 0.1853 0.5000 0.2694
Rb1 0.2030 0.5000 0.7488
Na1 0.0000 0.3379 0.5000
Na2 0.0000 0.5000 0.0000
# energy: -1.059 eV/atom
# crystal system: monoclinic
# calculated formation energy: 0.07 eV/atom
# N(E_F): 22.02 states/eV per cell
# offset from the most stable computed form: 4.5 kJ/mol of atoms


2.
# PBE-GGA K5Rb2Na2, optimized geometry
data_K5Rb2Na2
_chemical_formula_sum 'K20 Rb8 Na8'
_cell_length_a 19.3844
_cell_length_b 12.7240
_cell_length_c 10.1449
_cell_angle_alpha 90.00
_cell_angle_beta 90.00
_cell_angle_gamma 90.00
_space_group_name_H-M_alt 'I m a 2'
_space_group_IT_number 46
_space_group_name_Hall 'I 2 -2a'
loop_
_atom_site_label
_atom_site_fract_x
_atom_site_fract_y
_atom_site_fract_z
K1 0.0465 0.1729 0.0000
K2 0.1450 0.6961 0.2311
K3 0.2500 0.1771 0.7118
Rb1 0.1270 0.0151 0.3608
Na1 0.0000 0.0000 0.6800
Na2 0.2500 0.5255 0.5211
# energy: -1.067 eV/atom
# crystal system: orthorhombic
# calculated formation energy: 0.05 eV/atom
# N(E_F): 25.55 states/eV per cell
# offset from the most stable computed form: 2.2 kJ/mol of atoms


3.
# PBE-GGA K4Rb3Na, optimized geometry
data_K4Rb3Na
_chemical_formula_sum 'K8 Rb6 Na2'
_cell_length_a 15.0501
_cell_length_b 10.3820
_cell_length_c 7.5384
_cell_angle_alpha 90.00
_cell_angle_beta 90.00
_cell_angle_gamma 90.00
_space_group_name_H-M_alt 'P m n 21'
_space_group_IT_number 31
_space_group_name_Hall 'P 2ac -2'
loop_
_atom_site_label
_atom_site_fract_x
_atom_site_fract_y
_atom_site_fract_z
K1 0.0000 0.0945 0.0000
K2 0.0000 0.8562 0.5000
K3 0.2454 0.8744 0.9945
Rb1 0.0000 0.3900 0.4980
Rb2 0.2269 0.3774 0.9944
Na1 0.0000 0.6525 0.0000
# energy: -1.056 eV/atom
# crystal system: orthorhombic
# calculated formation energy: 0.02 eV/atom
# N(E_F): 13.09 states/eV per cell
# offset from the most stable computed form: 0.0 kJ/mol of atoms


4.
# PBE-GGA KRb6Na10, optimized geometry
data_KRb6Na10
_chemical_formula_sum 'K1 Rb6 Na10'
_cell_length_a 11.6863
_cell_length_b 11.6863
_cell_length_c 8.2997
_cell_angle_alpha 90.00
_cell_angle_beta 90.00
_cell_angle_gamma 120.00
_space_group_name_H-M_alt 'P -3 1 m'
_space_group_IT_number 162
_space_group_name_Hall '-P 3 2'
loop_
_atom_site_label
_atom_site_fract_x
_atom_site_fract_y
_atom_site_fract_z
K1 0.0000 0.0000 0.0000
Rb1 0.0000 0.3800 0.7955
Na1 0.0000 0.2632 0.3452
Na2 0.3333 0.6667 0.0000
Na3 0.3333 0.6667 0.5000
# energy: -1.098 eV/atom
# crystal system: trigonal
# calculated formation energy: 0.08 eV/atom
# N(E_F): 11.83 states/eV per cell


5.
# PBE-GGA K4Rb4Na, optimized geometry
data_K4Rb4Na
_chemical_formula_sum 'K8 Rb8 Na2'
_cell_length_a 11.3773
_cell_length_b 11.3773
_cell_length_c 11.2273
_cell_angle_alpha 90.00
_cell_angle_beta 90.00
_cell_angle_gamma 90.00
_space_group_name_H-M_alt 'I -4 2 m'
_space_group_IT_number 121
_space_group_name_Hall 'I -4 2'
loop_
_atom_site_label
_atom_site_fract_x
_atom_site_fract_y
_atom_site_fract_z
K1 0.0000 0.0000 0.1629
K2 0.0000 0.5000 0.0000
Rb1 0.2505 0.2505 0.2486
Na1 0.0000 0.0000 0.5000
# energy: -0.969 eV/atom
# crystal system: tetragonal
# calculated formation energy: 0.10 eV/atom
# N(E_F): 15.64 states/eV per cell
# offset from the most stable computed form: 7.6 kJ/mol of atoms


6.
# PBE-GGA K6Rb2Na3, optimized geometry
data_K6Rb2Na3
_chemical_formula_sum 'K12 Rb4 Na6'
_cell_length_a 6.3871
_cell_length_b 17.5505
_cell_length_c 13.3855
_cell_angle_alpha 90.00
_cell_angle_beta 90.05
_cell_angle_gamma 90.00
_space_group_name_H-M_alt 'C 1 2/m 1'
_space_group_IT_number 12
_space_group_name_Hall '-C 2y'
loop_
_atom_site_label
_atom_site_fract_x
_atom_site_fract_y
_atom_site_fract_z
K1 0.0006 0.0000 0.1862
K2 0.0008 0.3372 0.2275
Rb1 0.0000 0.1382 0.5000
Na1 0.0000 0.1829 0.0000
Na2 0.0000 0.5000 0.0000
# energy: -1.094 eV/atom
# crystal system: monoclinic
# calculated formation energy: 0.04 eV/atom
# N(E_F): 14.12 states/eV per cell


7.
# PBE-GGA K8Rb6Na, optimized geometry
data_K8Rb6Na
_chemical_formula_sum 'K24 Rb18 Na3'
_cell_length_a 11.8648
_cell_length_b 11.8648
_cell_length_c 28.4976
_cell_angle_alpha 90.00
_cell_angle_beta 90.00
_cell_angle_gamma 120.00
_space_group_name_H-M_alt 'R -3'
_space_group_IT_number 148
_space_group_name_Hall '-R 3'
loop_
_atom_site_label
_atom_site_fract_x
_atom_site_fract_y
_atom_site_fract_z
K1 0.0000 0.0000 0.0752
K2 0.0596 0.2502 0.6335
Rb1 0.0324 0.7756 0.2076
Na1 0.0000 0.0000 0.5000
# energy: -1.043 eV/atom
# crystal system: trigonal
# calculated formation energy: 0.02 eV/atom
# N(E_F): 42.57 states/eV per cell
# offset from the most stable computed form: 0.0 kJ/mol of atoms


8.
# PBE-GGA K6Rb5Na2, optimized geometry
data_K6Rb5Na2
_chemical_formula_sum 'K12 Rb10 Na4'
_cell_length_a 19.8895
_cell_length_b 20.4278
_cell_length_c 4.7468
_cell_angle_alpha 90.00
_cell_angle_beta 90.00
_cell_angle_gamma 90.00
_space_group_name_H-M_alt 'P b a m'
_space_group_IT_number 55
_space_group_name_Hall '-P 2 2ab'
loop_
_atom_site_label
_atom_site_fract_x
_atom_site_fract_y
_atom_site_fract_z
K1 0.0928 0.0607 0.0000
K2 0.2037 0.4464 0.0000
K3 0.2128 0.6353 0.5000
Rb1 0.0000 0.5000 0.5000
Rb2 0.1102 0.8446 0.5000
Rb3 0.1115 0.2697 0.5000
Na1 0.0510 0.6687 0.0000
# energy: -1.056 eV/atom
# crystal system: orthorhombic
# calculated formation energy: 0.03 eV/atom
# N(E_F): 18.37 states/eV per cell


9.
# PBE-GGA K6Rb3Na2, optimized geometry
data_K6Rb3Na2
_chemical_formula_sum 'K12 Rb6 Na4'
_cell_length_a 6.3421
_cell_length_b 6.3421
_cell_length_c 40.2317
_cell_angle_alpha 90.00
_cell_angle_beta 90.00
_cell_angle_gamma 90.00
_space_group_name_H-M_alt 'I 4/m m m'
_space_group_IT_number 139
_space_group_name_Hall '-I 4 2'
loop_
_atom_site_label
_atom_site_fract_x
_atom_site_fract_y
_atom_site_fract_z
K1 0.0000 0.0000 0.1829
K2 0.0000 0.5000 0.1021
Rb1 0.0000 0.0000 0.2954
Rb2 0.0000 0.0000 0.5000
Na1 0.0000 0.0000 0.0410
# energy: -1.053 eV/atom
# crystal system: tetragonal
# calculated formation energy: 0.05 eV/atom
# N(E_F): 18.10 states/eV per cell


10.
# PBE-GGA K5Rb12Na3, optimized geometry
data_K5Rb12Na3
_chemical_formula_sum 'K40 Rb96 Na24'
_cell_length_a 24.8877
_cell_length_b 24.8877
_cell_length_c 24.8877
_cell_angle_alpha 90.00
_cell_angle_beta 90.00
_cell_angle_gamma 90.00
_space_group_name_H-M_alt 'I a -3 d'
_space_group_IT_number 230
_space_group_name_Hall '-I 4bd 2c 3'
loop_
_atom_site_label
_atom_site_fract_x
_atom_site_fract_y
_atom_site_fract_z
K1 0.0000 0.0000 0.0000
K2 0.0000 0.2500 0.3750
Rb1 0.0165 0.0886 0.6496
Na1 0.0000 0.2500 0.1250
# energy: -0.884 eV/atom
# crystal system: cubic
# calculated formation energy: 0.17 eV/atom
# N(E_F): 111.34 states/eV per cell


11.
# PBE-GGA KRb10Na3, optimized geometry
data_KRb10Na3
_chemical_formula_sum 'K8 Rb80 Na24'
_cell_length_a 21.0309
_cell_length_b 21.0309
_cell_length_c 21.0309
_cell_angle_alpha 90.00
_cell_angle_beta 90.00
_cell_angle_gamma 90.00
_space_group_name_H-M_alt 'F m -3 m'
_space_group_IT_number 225
_space_group_name_Hall '-F 4 2 3'
loop_
_atom_site_label
_atom_site_fract_x
_atom_site_fract_y
_atom_site_fract_z
K1 0.2500 0.2500 0.2500
Rb1 0.0000 0.1697 0.1697
Rb2 0.1209 0.1209 0.3791
Na1 0.0000 0.0000 0.2746
# energy: -1.002 eV/atom
# crystal system: cubic
# calculated formation energy: 0.05 eV/atom
# N(E_F): 84.22 states/eV per cell


12.
# PBE-GGA KRbNa14, optimized geometry
data_KRbNa14
_chemical_formula_sum 'K2 Rb2 Na28'
_cell_length_a 11.7244
_cell_length_b 11.7331
_cell_length_c 9.7238
_cell_angle_alpha 90.00
_cell_angle_beta 90.00
_cell_angle_gamma 90.00
_space_group_name_H-M_alt 'C m m m'
_space_group_IT_number 65
_space_group_name_Hall '-C 2 2'
loop_
_atom_site_label
_atom_site_fract_x
_atom_site_fract_y
_atom_site_fract_z
K1 0.0000 0.0000 0.0000
Rb1 0.0000 0.5000 0.0000
Na1 0.0000 0.0000 0.5000
Na2 0.0000 0.2463 0.2823
Na3 0.0000 0.5000 0.5000
Na4 0.2463 0.0000 0.2823
Na5 0.2500 0.2500 0.0000
Na6 0.2500 0.2500 0.5000
# energy: -1.259 eV/atom
# crystal system: orthorhombic
# calculated formation energy: 0.02 eV/atom
# N(E_F): 12.59 states/eV per cell


13.
# PBE-GGA K4RbNa4, optimized geometry
data_K4RbNa4
_chemical_formula_sum 'K8 Rb2 Na8'
_cell_length_a 12.3917
_cell_length_b 12.3917
_cell_length_c 6.8028
_cell_angle_alpha 90.00
_cell_angle_beta 90.00
_cell_angle_gamma 90.00
_space_group_name_H-M_alt 'I 4/m'
_space_group_IT_number 87
_space_group_name_Hall '-I 4'
loop_
_atom_site_label
_atom_site_fract_x
_atom_site_fract_y
_atom_site_fract_z
K1 0.1404 0.7820 0.0000
Rb1 0.0000 0.0000 0.5000
Na1 0.0393 0.6318 0.5000
# energy: -1.146 eV/atom
# crystal system: tetragonal
# calculated formation energy: 0.04 eV/atom
# N(E_F): 11.78 states/eV per cell
# offset from the most stable computed form: 0.0 kJ/mol of atoms


14.
# PBE-GGA K9Rb4Na2, optimized geometry
data_K9Rb4Na2
_chemical_formula_sum 'K9 Rb4 Na2'
_cell_length_a 7.3637
_cell_length_b 7.3637
_cell_length_c 22.6835
_cell_angle_alpha 90.00
_cell_angle_beta 90.00
_cell_angle_gamma 120.00
_space_group_name_H-M_alt 'P -3 m 1'
_space_group_IT_number 164
_space_group_name_Hall '-P 3 2"'
loop_
_atom_site_label
_atom_site_fract_x
_atom_site_fract_y
_atom_site_fract_z
K1 0.0000 0.0000 0.0000
K2 0.0000 0.0000 0.2091
K3 0.0000 0.0000 0.4031
K4 0.3333 0.6667 0.0759
K5 0.3333 0.6667 0.4578
Rb1 0.3333 0.6667 0.6695
Rb2 0.3333 0.6667 0.8694
Na1 0.3333 0.6667 0.2643
# energy: -1.073 eV/atom
# crystal system: trigonal
# calculated formation energy: 0.02 eV/atom
# N(E_F): 13.73 states/eV per cell


15.
# PBE-GGA K6RbNa12, optimized geometry
data_K6RbNa12
_chemical_formula_sum 'K18 Rb3 Na36'
_cell_length_a 15.8864
_cell_length_b 15.8864
_cell_length_c 13.4145
_cell_angle_alpha 90.00
_cell_angle_beta 90.00
_cell_angle_gamma 120.00
_space_group_name_H-M_alt 'R -3 m'
_space_group_IT_number 166
_space_group_name_Hall '-R 3 2"'
loop_
_atom_site_label
_atom_site_fract_x
_atom_site_fract_y
_atom_site_fract_z
K1 0.0908 0.1815 0.2314
Rb1 0.0000 0.0000 0.5000
Na1 0.0000 0.2627 0.5000
Na2 0.0286 0.5143 0.6272
# energy: -1.175 eV/atom
# crystal system: trigonal
# calculated formation energy: 0.06 eV/atom
# N(E_F): 38.05 states/eV per cell